K3Zn2Au3 (PBE, optimized geometry); space group = Pnma; crystal system = orthorhombic; E above lowest polymorph = 0.0 meV per atom; formation enthalpy at 0 K = -0.261 eV/atom; DOS(E_F) = 10.78 states/eV/cell
1.0
-1.704 -4.260 4.578
6.718 -5.409 -2.533
9.495 7.061 10.106
Au K Zn
12 12 8
direct
0.646 0.321 0.456
0.354 0.679 0.544
0.854 0.821 0.044
0.354 0.679 0.956
0.146 0.179 0.544
0.959 0.858 0.750
0.459 0.642 0.250
0.854 0.821 0.456
0.146 0.179 0.956
0.041 0.142 0.250
0.646 0.321 0.044
0.541 0.358 0.750
0.377 0.953 0.107
0.123 0.453 0.393
0.123 0.453 0.107
0.429 0.712 0.750
0.877 0.547 0.607
0.377 0.953 0.393
0.929 0.788 0.250
0.623 0.047 0.607
0.071 0.212 0.750
0.877 0.547 0.893
0.571 0.288 0.250
0.623 0.047 0.893
0.601 0.606 0.412
0.101 0.894 0.588
0.399 0.394 0.912
0.399 0.394 0.588
0.101 0.894 0.912
0.899 0.106 0.088
0.899 0.106 0.412
0.601 0.606 0.088

***

Tb2CeEr8 (PBE, optimized geometry); space group = C2/m; crystal system = monoclinic; E above lowest polymorph = 135.6 meV per atom; formation enthalpy at 0 K = 0.175 eV/atom; DOS(E_F) = 21.81 states/eV/cell
1.0
5.438 -0.713 -0.498
1.032 9.679 2.578
1.032 5.752 8.201
Er Ce Tb
8 1 2
direct
0.762 0.453 0.453
0.733 0.867 0.397
0.267 0.603 0.133
0.733 0.397 0.867
0.234 0.186 0.186
0.238 0.547 0.547
0.766 0.814 0.814
0.267 0.133 0.603
0.000 0.000 0.000
0.751 0.284 0.284
0.249 0.716 0.716

***

ThZrInAg (PBE, optimized geometry); space group = F-43m; crystal system = cubic; formation enthalpy at 0 K = -0.063 eV/atom; DOS(E_F) = 1.87 states/eV/cell
1.0
5.202 0.000 0.000
2.601 4.505 0.000
2.601 1.502 4.248
Zr In Ag Th
1 1 1 1
direct
0.500 0.500 0.500
0.750 0.750 0.750
0.250 0.250 0.250
0.000 0.000 0.000

***

LiAu2Br (PBE, optimized geometry); space group = Cm; crystal system = monoclinic; E above lowest polymorph = 143.5 meV per atom; DOS(E_F) = 0.66 states/eV/cell
1.0
-1.420 1.060 3.627
-3.029 -1.923 1.851
4.702 -4.237 2.857
Au Br Li
2 1 1
direct
0.367 0.367 0.199
0.039 0.039 0.990
0.383 0.383 0.576
0.711 0.711 0.736